AcPm2WN4: optimized geometry, PBE.

Computed properties:
Final energy ... -135.64 eV/cell
V ... 135.8 Å³/f.u.
Space group ... Cmcm, No. 63

Cell lengths 6.462, 6.462, 12.335 Å; angles 90.00, 90.00, 148.17 degrees
Positions (direct):
Ac 0.083 0.917 0.750
Ac 0.917 0.083 0.250
Pm 0.370 0.630 0.539
Pm 0.370 0.630 0.961
Pm 0.630 0.370 0.039
Pm 0.630 0.370 0.461
W 0.176 0.824 0.250
W 0.824 0.176 0.750
N 0.000 0.000 0.000
N 0.000 0.000 0.500
N 0.264 0.736 0.125
N 0.264 0.736 0.375
N 0.417 0.583 0.750
N 0.583 0.417 0.250
N 0.736 0.264 0.625
N 0.736 0.264 0.875

---

BeSb2Br: optimized geometry, PBE.

Computed properties:
V ... 125.3 Å³/f.u.
Space group ... Cm, No. 8
E above lowest polymorph ... 0 meV/atom

Cell lengths 15.093, 3.867, 4.477 Å; angles 90.00, 106.47, 90.00 degrees
Positions (direct):
Be 0.000 0.000 0.000
Be 0.500 0.500 0.000
Sb 0.008 0.500 0.649
Sb 0.376 0.000 0.030
Sb 0.508 0.000 0.649
Sb 0.876 0.500 0.030
Br 0.137 0.000 0.309
Br 0.637 0.500 0.309

---

Ba2Li3PrSb4: optimized geometry, PBE.

Computed properties:
Final energy ... -39.16 eV/cell
V ... 302.0 Å³/f.u.
Space group ... P-4m2, No. 115

Cell lengths 4.981, 4.981, 12.173 Å; angles 90.00, 90.00, 90.00 degrees
Positions (direct):
Ba 0.000 0.500 0.217
Ba 0.500 0.000 0.783
Li 0.000 0.500 0.886
Li 0.500 0.000 0.114
Li 0.500 0.500 0.500
Pr 0.000 0.000 0.500
Sb 0.000 0.000 0.000
Sb 0.000 0.500 0.652
Sb 0.500 0.000 0.348
Sb 0.500 0.500 0.000

---

YMo3: optimized geometry, PBE.

Computed properties:
ΔH_f (0 K) ... 0.58 eV/atom
V ... 73.0 Å³/f.u.
Space group ... Cmmm, No. 65
E above lowest polymorph ... 325 meV/atom

Cell lengths 5.449, 9.754, 2.748 Å; angles 90.00, 90.00, 90.00 degrees
Positions (direct):
Y 0.000 0.000 0.000
Y 0.500 0.500 0.000
Mo 0.000 0.500 0.000
Mo 0.250 0.250 0.500
Mo 0.250 0.750 0.500
Mo 0.500 0.000 0.000
Mo 0.750 0.250 0.500
Mo 0.750 0.750 0.500

---

SiPbBr: optimized geometry, PBE.

Computed properties:
V ... 84.6 Å³/f.u.
Space group ... F-43m, No. 216
E above lowest polymorph ... 244 meV/atom

Cell lengths 6.968, 6.968, 6.968 Å; angles 90.00, 90.00, 90.00 degrees
Positions (direct):
Si 0.000 0.000 0.000
Si 0.000 0.500 0.500
Si 0.500 0.000 0.500
Si 0.500 0.500 0.000
Pb 0.250 0.250 0.250
Pb 0.250 0.750 0.750
Pb 0.750 0.250 0.750
Pb 0.750 0.750 0.250
Br 0.250 0.250 0.750
Br 0.250 0.750 0.250
Br 0.750 0.250 0.250
Br 0.750 0.750 0.750

---

SrLaTc2: optimized geometry, PBE.

Computed properties:
ΔH_f (0 K) ... 0.88 eV/atom
V ... 93.7 Å³/f.u.
Space group ... Cmmm, No. 65
E above lowest polymorph ... 574 meV/atom

Cell lengths 7.182, 7.191, 3.628 Å; angles 90.00, 90.00, 90.00 degrees
Positions (direct):
Sr 0.000 0.000 0.000
Sr 0.500 0.500 0.000
La 0.000 0.500 0.000
La 0.500 0.000 0.000
Tc 0.250 0.250 0.500
Tc 0.250 0.750 0.500
Tc 0.750 0.250 0.500
Tc 0.750 0.750 0.500

---

Tm2Zn15Hg2: optimized geometry, PBE.

Computed properties:
ΔH_f (0 K) ... -0.17 eV/atom
V ... 318.3 Å³/f.u.
Space group ... R-3m, No. 166

Cell lengths 6.875, 6.875, 6.875 Å; angles 83.06, 83.06, 83.06 degrees
Positions (direct):
Tm 0.158 0.158 0.158
Tm 0.842 0.842 0.842
Zn 0.000 0.500 0.500
Zn 0.145 0.145 0.671
Zn 0.145 0.671 0.145
Zn 0.193 0.500 0.807
Zn 0.193 0.807 0.500
Zn 0.329 0.855 0.855
Zn 0.500 0.000 0.500
Zn 0.500 0.193 0.807
Zn 0.500 0.500 0.000
Zn 0.500 0.807 0.193
Zn 0.671 0.145 0.145
Zn 0.807 0.193 0.500
Zn 0.807 0.500 0.193
Zn 0.855 0.329 0.855
Zn 0.855 0.855 0.329
Hg 0.390 0.390 0.390
Hg 0.610 0.610 0.610

---

AcEr4In5: optimized geometry, PBE.

Computed properties:
ΔH_f (0 K) ... -0.43 eV/atom
V ... 275.8 Å³/f.u.
Space group ... P4/mmm, No. 123

Cell lengths 3.787, 3.787, 19.234 Å; angles 90.00, 90.00, 90.00 degrees
Positions (direct):
Ac 0.000 0.000 0.000
Er 0.000 0.000 0.214
Er 0.000 0.000 0.405
Er 0.000 0.000 0.595
Er 0.000 0.000 0.786
In 0.500 0.500 0.121
In 0.500 0.500 0.311
In 0.500 0.500 0.500
In 0.500 0.500 0.689
In 0.500 0.500 0.879

---

Cu2SiOs: optimized geometry, PBE.

Computed properties:
Final energy ... -73.35 eV/cell
V ... 52.5 Å³/f.u.
Space group ... R3m, No. 160

Cell lengths 2.750, 2.750, 24.058 Å; angles 90.00, 90.00, 120.00 degrees
Positions (direct):
Cu 0.000 0.000 0.000
Cu 0.000 0.000 0.250
Cu 0.333 0.667 0.667
Cu 0.333 0.667 0.916
Cu 0.667 0.333 0.333
Cu 0.667 0.333 0.583
Si 0.000 0.000 0.503
Si 0.333 0.667 0.170
Si 0.667 0.333 0.837
Os 0.000 0.000 0.757
Os 0.333 0.667 0.424
Os 0.667 0.333 0.090

---

PtC2: optimized geometry, PBE.

Computed properties:
ΔH_f (0 K) ... 0.32 eV/atom
V ... 47.2 Å³/f.u.
Space group ... P6/mmm, No. 191
E above lowest polymorph ... 0 meV/atom

Cell lengths 2.529, 2.529, 8.526 Å; angles 90.00, 90.00, 120.00 degrees
Positions (direct):
Pt 0.000 0.000 0.000
C 0.333 0.667 0.500
C 0.667 0.333 0.500

---

Ta2OsPb: optimized geometry, PBE.

Computed properties:
ΔH_f (0 K) ... 0.31 eV/atom
V ... 78.5 Å³/f.u.
Space group ... P4mm, No. 99

Cell lengths 3.175, 3.175, 7.788 Å; angles 90.00, 90.00, 90.00 degrees
Positions (direct):
Ta 0.000 0.000 0.000
Ta 0.500 0.500 0.240
Os 0.000 0.000 0.420
Pb 0.500 0.500 0.699

---

KScAgTe2: optimized geometry, PBE.

Computed properties:
Final energy ... -40.49 eV/cell
V ... 163.0 Å³/f.u.
Space group ... P2/c, No. 13

Cell lengths 8.560, 6.225, 6.603 Å; angles 90.00, 112.08, 90.00 degrees
Positions (direct):
K 0.000 0.221 0.250
K 0.000 0.779 0.750
Sc 0.500 0.500 0.250
Sc 0.500 0.500 0.750
Ag 0.500 0.000 0.000
Ag 0.500 0.000 0.500
Te 0.251 0.288 0.878
Te 0.251 0.712 0.378
Te 0.749 0.288 0.622
Te 0.749 0.712 0.122

---

KRb4Au2: optimized geometry, PBE.

Computed properties:
ΔH_f (0 K) ... -0.15 eV/atom
V ... 369.9 Å³/f.u.
Space group ... R-3m, No. 166

Cell lengths 12.056, 12.056, 12.056 Å; angles 29.24, 29.24, 29.24 degrees
Positions (direct):
K 0.000 0.000 0.000
Rb 0.202 0.202 0.202
Rb 0.401 0.401 0.401
Rb 0.599 0.599 0.599
Rb 0.798 0.798 0.798
Au 0.099 0.099 0.099
Au 0.901 0.901 0.901

---

Rb2Hg2Pd: optimized geometry, PBE.

Computed properties:
ΔH_f (0 K) ... -0.11 eV/atom
V ... 164.4 Å³/f.u.
Space group ... P4/mbm, No. 127
E above lowest polymorph ... 66 meV/atom

Cell lengths 7.570, 7.570, 5.737 Å; angles 90.00, 90.00, 90.00 degrees
Positions (direct):
Rb 0.176 0.324 0.000
Rb 0.324 0.824 0.000
Rb 0.676 0.176 0.000
Rb 0.824 0.676 0.000
Hg 0.152 0.652 0.500
Hg 0.348 0.152 0.500
Hg 0.652 0.848 0.500
Hg 0.848 0.348 0.500
Pd 0.000 0.000 0.500
Pd 0.500 0.500 0.500

---

KTlZn2: optimized geometry, PBE.

Computed properties:
ΔH_f (0 K) ... 0.15 eV/atom
V ... 105.0 Å³/f.u.
Space group ... Fm-3m, No. 225
E above lowest polymorph ... 128 meV/atom

Cell lengths 7.489, 7.489, 7.489 Å; angles 90.00, 90.00, 90.00 degrees
Positions (direct):
K 0.000 0.000 0.000
K 0.000 0.500 0.500
K 0.500 0.000 0.500
K 0.500 0.500 0.000
Tl 0.000 0.000 0.500
Tl 0.000 0.500 0.000
Tl 0.500 0.000 0.000
Tl 0.500 0.500 0.500
Zn 0.250 0.250 0.250
Zn 0.250 0.250 0.750
Zn 0.250 0.750 0.250
Zn 0.250 0.750 0.750
Zn 0.750 0.250 0.250
Zn 0.750 0.250 0.750
Zn 0.750 0.750 0.250
Zn 0.750 0.750 0.750

---

NpGaSb: optimized geometry, PBE.

Computed properties:
V ... 62.5 Å³/f.u.
Space group ... P2_1/m, No. 11
E above lowest polymorph ... 113 meV/atom

Cell lengths 5.027, 3.794, 7.017 Å; angles 90.00, 110.88, 90.00 degrees
Positions (direct):
Np 0.059 0.250 0.119
Np 0.941 0.750 0.881
Ga 0.430 0.250 0.860
Ga 0.570 0.750 0.140
Sb 0.260 0.750 0.521
Sb 0.740 0.250 0.479

---

Pr5GaAu2: optimized geometry, PBE.

Computed properties:
ΔH_f (0 K) ... -0.51 eV/atom
V ... 231.7 Å³/f.u.
Space group ... I4/mcm, No. 140

Cell lengths 8.872, 8.872, 8.872 Å; angles 123.66, 123.66, 83.77 degrees
Positions (direct):
Pr 0.000 0.000 0.000
Pr 0.012 0.512 0.819
Pr 0.193 0.012 0.500
Pr 0.307 0.807 0.819
Pr 0.488 0.307 0.500
Pr 0.500 0.500 0.000
Pr 0.512 0.693 0.500
Pr 0.693 0.193 0.181
Pr 0.807 0.988 0.500
Pr 0.988 0.488 0.181
Ga 0.250 0.250 0.000
Ga 0.750 0.750 0.000
Au 0.132 0.368 0.500
Au 0.368 0.868 0.237
Au 0.632 0.132 0.763
Au 0.868 0.632 0.500

---

BaZn6: optimized geometry, PBE.

Computed properties:
ΔH_f (0 K) ... 0.03 eV/atom
V ... 171.6 Å³/f.u.
Space group ... Im-3m, No. 229
E above lowest polymorph ... 139 meV/atom

Cell lengths 7.002, 7.002, 7.002 Å; angles 90.00, 90.00, 90.00 degrees
Positions (direct):
Ba 0.000 0.000 0.000
Ba 0.500 0.500 0.500
Zn 0.000 0.250 0.500
Zn 0.000 0.500 0.250
Zn 0.000 0.500 0.750
Zn 0.000 0.750 0.500
Zn 0.250 0.000 0.500
Zn 0.250 0.500 0.000
Zn 0.500 0.000 0.250
Zn 0.500 0.000 0.750
Zn 0.500 0.250 0.000
Zn 0.500 0.750 0.000
Zn 0.750 0.000 0.500
Zn 0.750 0.500 0.000

---

Th2ScNi6: optimized geometry, PBE.

Computed properties:
ΔH_f (0 K) ... -0.21 eV/atom
V ... 157.3 Å³/f.u.
Space group ... Immm, No. 71

Cell lengths 7.662, 7.662, 7.662 Å; angles 153.79, 127.13, 59.94 degrees
Positions (direct):
Th 0.145 0.145 0.000
Th 0.855 0.855 0.000
Sc 0.500 0.000 0.500
Ni 0.153 0.332 0.820
Ni 0.190 0.500 0.690
Ni 0.488 0.668 0.820
Ni 0.512 0.332 0.180
Ni 0.810 0.500 0.310
Ni 0.847 0.668 0.180

---

Ba3Ag2Pb2: optimized geometry, PBE.

Computed properties:
ΔH_f (0 K) ... -0.41 eV/atom
V ... 261.6 Å³/f.u.
Space group ... C2/m, No. 12

Cell lengths 12.692, 5.080, 8.586 Å; angles 90.00, 109.07, 90.00 degrees
Positions (direct):
Ba 0.000 0.000 0.000
Ba 0.176 0.000 0.646
Ba 0.324 0.500 0.354
Ba 0.500 0.500 0.000
Ba 0.676 0.500 0.646
Ba 0.824 0.000 0.354
Ag 0.193 0.500 0.935
Ag 0.307 0.000 0.065
Ag 0.693 0.000 0.935
Ag 0.807 0.500 0.065
Pb 0.032 0.500 0.338
Pb 0.468 0.000 0.662
Pb 0.532 0.000 0.338
Pb 0.968 0.500 0.662